[1]
Crystalline TlCdCu at its relaxed geometry, computed with PBE.

Calculated values
D(E_F) = 0.8728 states/eV per atom
Calculated formation energy = 0.170 eV/atom
Energy relative to the lowest polymorph listed for this composition = 0.027 eV/atom
Calculated total energy = -2.29 eV per atom

Cell lengths 4.5689, 4.5689, 4.5689 Å; angles 60.00, 60.00, 60.00 degrees
Last column: nearest neighbours and their distance in Å.
Positions (direct):
Tl 0.0000 0.0000 0.0000  4 Cu 2.80
Cd 0.5000 0.5000 0.5000  4 Cu 2.80
Cu 0.2500 0.2500 0.2500  4 Cd 2.80, 4 Tl 2.80

[2]
Crystalline Tl2CdCu2 at its relaxed geometry, computed with PBE.

Calculated values
D(E_F) = 0.4035 states/eV per atom
Calculated formation energy = 0.213 eV/atom
Energy relative to the lowest polymorph listed for this composition = 0.010 eV/atom
Calculated total energy = -2.55 eV per atom

Cell lengths 9.7118, 9.7118, 9.7118 Å; angles 159.57, 159.57, 29.05 degrees
Last column: nearest neighbours and their distance in Å.
Positions (direct):
Tl 0.1222 0.1222 0.0000  4 Cu 2.96
Tl 0.8778 0.8778 0.0000  4 Cu 2.96
Cd 0.5000 0.5000 0.0000  8 Tl 3.35, 4 Cd 3.44
Cu 0.2500 0.7500 0.5000  4 Cu 2.44
Cu 0.7500 0.2500 0.5000  4 Cu 2.44

[3]
Crystalline TlCdCu at its relaxed geometry, computed with PBE.

Calculated values
D(E_F) = 0.2939 states/eV per atom
Calculated formation energy = 0.193 eV/atom
Energy relative to the lowest polymorph listed for this composition = 0.050 eV/atom
Calculated total energy = -2.27 eV per atom

Cell lengths 6.2562, 6.2562, 6.2562 Å; angles 149.02, 149.02, 44.38 degrees
Last column: nearest neighbours and their distance in Å.
Positions (direct):
Tl 0.0000 0.0000 0.0000  4 Cu 3.02, 1 Cd 3.31, 4 Tl 3.34
Cd 0.2858 0.2858 0.0000  4 Cu 2.76
Cu 0.6630 0.6630 0.0000  4 Cd 2.76, 4 Tl 3.02

[4]
Crystalline Tl2Cd4Cu at its relaxed geometry, computed with PBE.

Calculated values
D(E_F) = 0.4900 states/eV per atom
Calculated formation energy = 0.179 eV/atom
Calculated total energy = -1.60 eV per atom

Cell lengths 8.5721, 8.5721, 8.5721 Å; angles 145.59, 145.59, 49.46 degrees
Last column: nearest neighbours and their distance in Å.
Positions (direct):
Tl 0.1393 0.1393 0.0000  5 Cd 3.01-3.34
Tl 0.8607 0.8607 0.0000  5 Cd 3.01-3.34
Cd 0.0000 0.5000 0.5000  2 Cu 2.54
Cd 0.3328 0.3328 0.0000  1 Cu 2.60
Cd 0.5000 0.0000 0.5000  2 Cu 2.54
Cd 0.6672 0.6672 0.0000  1 Cu 2.60
Cu 0.5000 0.5000 0.0000  6 Cd 2.54-2.60

[5]
Crystalline TlCdCu2 at its relaxed geometry, computed with PBE.

Calculated values
D(E_F) = 0.3263 states/eV per atom
Calculated formation energy = 0.407 eV/atom
Calculated total energy = -2.46 eV per atom

Cell lengths 5.9979, 5.9979, 5.9979 Å; angles 103.45, 103.45, 122.33 degrees
Last column: nearest neighbours and their distance in Å.
Positions (direct):
Tl 0.0000 0.0000 0.0000  4 Cu 2.75, 2 Cd 2.89
Tl 0.7500 0.2500 0.5000  4 Cu 2.75, 2 Cd 2.89
Cd 0.2500 0.7500 0.5000  4 Cu 2.70, 2 Tl 2.89
Cd 0.5000 0.5000 0.0000  4 Cu 2.70, 2 Tl 2.89
Cu 0.1305 0.6250 0.0055  2 Cd 2.70, 2 Tl 2.75, 2 Cu 2.89
Cu 0.3750 0.3805 0.5055  2 Cd 2.70, 2 Tl 2.75, 2 Cu 2.89
Cu 0.6195 0.1250 0.9945  2 Cd 2.70, 2 Tl 2.75, 2 Cu 2.89
Cu 0.8750 0.8695 0.4945  2 Cd 2.70, 2 Tl 2.75, 2 Cu 2.89

[6]
Crystalline TlCdCu2 at its relaxed geometry, computed with PBE.

Calculated values
D(E_F) = 0.3413 states/eV per atom
Calculated formation energy = 0.268 eV/atom
Calculated total energy = -2.60 eV per atom

Cell lengths 4.9204, 4.9204, 5.7554 Å; angles 112.79, 112.79, 39.06 degrees
Last column: nearest neighbours and their distance in Å.
Positions (direct):
Tl 0.0000 0.0000 0.0000  4 Cu 2.81
Cd 0.5000 0.5000 0.5000  6 Cu 2.72-2.80
Cu 0.2567 0.2567 0.6696  2 Cu 2.52, 3 Cd 2.72-2.80, 2 Tl 2.81
Cu 0.7433 0.7433 0.3304  2 Cu 2.52, 3 Cd 2.72-2.80, 2 Tl 2.81